Na3MgBi3 | GGA-PBE | optimized geometry

It has space group C2/m (No. 12), with a = 9.292 Å, b = 15.005 Å, c = 6.978 Å, α = 90.00°, β = 96.93° and γ = 90.00°. The inequivalent atoms are Na at (0.000, 0.140, 0.000), Na at (0.000, 0.214, 0.500), Na at (0.090, 0.500, 0.781), Mg at (0.231, 0.000, 0.739), Bi at (0.091, 0.000, 0.327) and Bi at (0.145, 0.326, 0.135).

The value obtained for the total DFT energy (no corrections) is -73.39 eV/cell. Its formation enthalpy at 0 K is -165 meV per atom.



Na4MgBi5 | GGA-PBE | optimized geometry

It has space group P4/mmm (No. 123), with a = 3.912 Å, b = 3.912 Å, c = 18.781 Å, α = 90.00°, β = 90.00° and γ = 90.00°. The inequivalent atoms are Na at (0.000, 0.000, 0.100), Na at (0.000, 0.000, 0.304), Mg at (0.000, 0.000, 0.500), Bi at (0.500, 0.500, 0.000), Bi at (0.500, 0.500, 0.200) and Bi at (0.500, 0.500, 0.414).

The value obtained for the total DFT energy (no corrections) is -28.46 eV/cell. Its formation enthalpy at 0 K is -218 meV per atom.



Na2Mg2Bi | GGA-PBE | optimized geometry

It has space group P4/mbm (No. 127), with a = 8.812 Å, b = 8.812 Å, c = 3.633 Å, α = 90.00°, β = 90.00° and γ = 90.00°. The inequivalent atoms are Na at (0.137, 0.363, 0.000), Mg at (0.160, 0.660, 0.500) and Bi at (0.000, 0.000, 0.000).

The value obtained for the total DFT energy (no corrections) is -18.08 eV/cell. Its formation enthalpy at 0 K is 134 meV per atom. The relative energy among the computed polymorphs is 0.194 eV per atom.



NaMg6Bi | GGA-PBE | optimized geometry

It has space group Amm2 (No. 38), with a = 5.145 Å, b = 6.697 Å, c = 11.498 Å, α = 90.00°, β = 90.00° and γ = 90.00°. The inequivalent atoms are Na at (0.000, 0.000, 0.000), Mg at (0.000, 0.000, 0.494), Mg at (0.000, 0.238, 0.753), Mg at (0.500, 0.000, 0.661), Mg at (0.500, 0.245, 0.411) and Bi at (0.500, 0.000, 0.167).

The value obtained for the total DFT energy (no corrections) is -29.89 eV/cell. Its formation enthalpy at 0 K is -22 meV per atom.



Na2MgBi | GGA-PBE | optimized geometry

It has space group I-42d (No. 122), with a = 9.158 Å, b = 9.158 Å, c = 6.126 Å, α = 90.00°, β = 90.00° and γ = 90.00°. The inequivalent atoms are Na at (0.227, 0.750, 0.125), Mg at (0.000, 0.000, 0.500) and Bi at (0.000, 0.000, 0.000).

The value obtained for the total DFT energy (no corrections) is -32.38 eV/cell. Its formation enthalpy at 0 K is 5 meV per atom. The relative energy among the computed polymorphs is 0.188 eV per atom.



Na2Mg2Bi3 | GGA-PBE | optimized geometry

It has space group P2_1/c (No. 14), with a = 7.058 Å, b = 9.176 Å, c = 6.785 Å, α = 90.00°, β = 90.70° and γ = 90.00°. The inequivalent atoms are Na at (0.138, 0.179, 0.386), Mg at (0.369, 0.621, 0.630), Bi at (0.000, 0.000, 0.000) and Bi at (0.345, 0.559, 0.166).

The value obtained for the total DFT energy (no corrections) is -38.16 eV/cell. Its formation enthalpy at 0 K is -230 meV per atom.



Na2MgBi | GGA-PBE | optimized geometry

It has space group Fm-3m (No. 225), with a = 7.627 Å, b = 7.627 Å, c = 7.627 Å, α = 90.00°, β = 90.00° and γ = 90.00°. The inequivalent atoms are Na at (0.250, 0.250, 0.250), Mg at (0.000, 0.000, 0.000) and Bi at (0.000, 0.000, 0.500).

The value obtained for the total DFT energy (no corrections) is -34.76 eV/cell. Its formation enthalpy at 0 K is -144 meV per atom. The relative energy among the computed polymorphs is 0.039 eV per atom.



NaMg3Bi2 | GGA-PBE | optimized geometry

It has space group C2/m (No. 12), with a = 18.667 Å, b = 4.613 Å, c = 10.002 Å, α = 90.00°, β = 121.60° and γ = 90.00°. The inequivalent atoms are Na at (0.122, 0.000, 0.142), Mg at (0.034, 0.000, 0.677), Mg at (0.094, 0.500, 0.533), Mg at (0.176, 0.500, 0.904), Bi at (0.005, 0.500, 0.183) and Bi at (0.218, 0.000, 0.745).

The value obtained for the total DFT energy (no corrections) is -60.78 eV/cell. Its formation enthalpy at 0 K is -222 meV per atom.



Na2MgBi | GGA-PBE | optimized geometry

It has space group P4/mmm (No. 123), with a = 4.662 Å, b = 4.662 Å, c = 5.063 Å, α = 90.00°, β = 90.00° and γ = 90.00°. The inequivalent atoms are Na at (0.000, 0.500, 0.000), Mg at (0.000, 0.000, 0.500) and Bi at (0.500, 0.500, 0.500).

The value obtained for the total DFT energy (no corrections) is -8.85 eV/cell. Its formation enthalpy at 0 K is -183 meV per atom. The relative energy among the computed polymorphs is 0.000 eV per atom.



NaMg2Bi2 | GGA-PBE | optimized geometry

It has space group P-1 (No. 2), with a = 6.848 Å, b = 6.943 Å, c = 7.196 Å, α = 70.97°, β = 71.56° and γ = 76.01°. The inequivalent atoms are Na at (0.040, 0.475, 0.246), Mg at (0.247, 0.974, 0.021), Mg at (0.470, 0.747, 0.523), Bi at (0.128, 0.081, 0.620) and Bi at (0.420, 0.368, 0.874).

The value obtained for the total DFT energy (no corrections) is -27.03 eV/cell. Its formation enthalpy at 0 K is -249 meV per atom. The relative energy among the computed polymorphs is 0.000 eV per atom.



NaMg3Bi3 | GGA-PBE | optimized geometry

It has space group Pm-3n (No. 223), with a = 8.187 Å, b = 8.187 Å, c = 8.187 Å, α = 90.00°, β = 90.00° and γ = 90.00°. The inequivalent atoms are Na at (0.000, 0.000, 0.000), Mg at (0.000, 0.250, 0.500) and Bi at (0.000, 0.500, 0.250).

The value obtained for the total DFT energy (no corrections) is -34.97 eV/cell. Its formation enthalpy at 0 K is 37 meV per atom. The relative energy among the computed polymorphs is 0.171 eV per atom.



NaMgBi | GGA-PBE | optimized geometry

It has space group I4mm (No. 107), with a = 4.225 Å, b = 4.225 Å, c = 9.448 Å, α = 90.00°, β = 90.00° and γ = 90.00°. The inequivalent atoms are Na at (0.000, 0.000, 0.000), Mg at (0.000, 0.000, 0.685) and Bi at (0.000, 0.000, 0.328).

The value obtained for the total DFT energy (no corrections) is -14.34 eV/cell. Its formation enthalpy at 0 K is -125 meV per atom.



NaMg6Bi | GGA-PBE | optimized geometry

It has space group Amm2 (No. 38), with a = 5.140 Å, b = 6.453 Å, c = 11.966 Å, α = 90.00°, β = 90.00° and γ = 90.00°. The inequivalent atoms are Na at (0.000, 0.000, 0.000), Mg at (0.000, 0.249, 0.246), Mg at (0.500, 0.000, 0.163), Mg at (0.500, 0.000, 0.668), Mg at (0.500, 0.244, 0.904) and Bi at (0.000, 0.000, 0.491).

The value obtained for the total DFT energy (no corrections) is -29.87 eV/cell. Its formation enthalpy at 0 K is -21 meV per atom.



NaMg2Bi2 | GGA-PBE | optimized geometry

It has space group P-1 (No. 2), with a = 5.011 Å, b = 7.905 Å, c = 8.795 Å, α = 113.81°, β = 90.00° and γ = 108.43°. The inequivalent atoms are Na at (0.249, 0.000, 0.251), Mg at (0.082, 0.667, 0.797), Mg at (0.417, 0.335, 0.704), Bi at (0.125, 0.750, 0.493) and Bi at (0.377, 0.249, 0.006).

The value obtained for the total DFT energy (no corrections) is -26.92 eV/cell. Its formation enthalpy at 0 K is -238 meV per atom. The relative energy among the computed polymorphs is 0.011 eV per atom.



Na2Mg2Bi | GGA-PBE | optimized geometry

It has space group P4/mbm (No. 127), with a = 7.660 Å, b = 7.660 Å, c = 5.254 Å, α = 90.00°, β = 90.00° and γ = 90.00°. The inequivalent atoms are Na at (0.170, 0.330, 0.000), Mg at (0.133, 0.633, 0.500) and Bi at (0.000, 0.000, 0.500).

The value obtained for the total DFT energy (no corrections) is -20.02 eV/cell. Its formation enthalpy at 0 K is -60 meV per atom. The relative energy among the computed polymorphs is 0.000 eV per atom.



NaMg3Bi3 | GGA-PBE | optimized geometry

It has space group R-3 (No. 148, hexagonal axes), with a = 8.6332 Å, b = 8.6332 Å, c = 20.3386 Å, α = 90.00°, β = 90.00° and γ = 120.00°. The inequivalent atoms are Na at (0.0000, 0.0000, 0.1668), Mg at (0.0006, 0.3395, 0.3891) and Bi at (0.0007, 0.3239, 0.5729).

The value obtained for the total DFT energy (no corrections) is -112.09 eV/cell. Its formation enthalpy at 0 K is -134 meV per atom. The relative energy among the computed polymorphs is 0.000 eV per atom.



NaMg2Bi2 | GGA-PBE | optimized geometry

It has space group I4/mmm (No. 139), with a = 4.648 Å, b = 4.648 Å, c = 14.398 Å, α = 90.00°, β = 90.00° and γ = 90.00°. The inequivalent atoms are Na at (0.000, 0.000, 0.000), Mg at (0.000, 0.500, 0.250) and Bi at (0.000, 0.000, 0.381).

The value obtained for the total DFT energy (no corrections) is -26.89 eV/cell. Its formation enthalpy at 0 K is -235 meV per atom. The relative energy among the computed polymorphs is 0.014 eV per atom.



NaMgBi3 | GGA-PBE | optimized geometry

It has space group Pm-3m (No. 221), with a = 5.529 Å, b = 5.529 Å, c = 5.529 Å, α = 90.00°, β = 90.00° and γ = 90.00°. The inequivalent atoms are Na at (0.000, 0.000, 0.000), Mg at (0.500, 0.500, 0.500) and Bi at (0.000, 0.000, 0.500).

The value obtained for the total DFT energy (no corrections) is -11.87 eV/cell. Its formation enthalpy at 0 K is 538 meV per atom. The relative energy among the computed polymorphs is 0.340 eV per atom.



Na2Mg4Bi | GGA-PBE | optimized geometry

It has space group I4/mmm (No. 139), with a = 5.786 Å, b = 5.786 Å, c = 16.118 Å, α = 90.00°, β = 90.00° and γ = 90.00°. The inequivalent atoms are Na at (0.000, 0.000, 0.116), Mg at (0.000, 0.000, 0.307), Mg at (0.000, 0.500, 0.000) and Bi at (0.000, 0.000, 0.500).

The value obtained for the total DFT energy (no corrections) is -20.76 eV/cell. Its formation enthalpy at 0 K is 360 meV per atom.



Na4MgBi3 | GGA-PBE | optimized geometry

It has space group I4/mcm (No. 140), with a = 12.532 Å, b = 12.532 Å, c = 6.157 Å, α = 90.00°, β = 90.00° and γ = 90.00°. The inequivalent atoms are Na at (0.087, 0.226, 0.000), Mg at (0.000, 0.500, 0.250), Bi at (0.000, 0.000, 0.250) and Bi at (0.147, 0.353, 0.500).

The value obtained for the total DFT energy (no corrections) is -82.74 eV/cell. Its formation enthalpy at 0 K is -271 meV per atom.



NaMg2Bi2 | GGA-PBE | optimized geometry

It has space group P4/mbm (No. 127), with a = 8.875 Å, b = 8.875 Å, c = 3.626 Å, α = 90.00°, β = 90.00° and γ = 90.00°. The inequivalent atoms are Na at (0.000, 0.000, 0.000), Mg at (0.130, 0.370, 0.500) and Bi at (0.166, 0.666, 0.000).

The value obtained for the total DFT energy (no corrections) is -26.42 eV/cell. Its formation enthalpy at 0 K is -187 meV per atom. The relative energy among the computed polymorphs is 0.062 eV per atom.



NaMgBi3 | GGA-PBE | optimized geometry

It has space group Pm-3m (No. 221), with a = 5.616 Å, b = 5.616 Å, c = 5.616 Å, α = 90.00°, β = 90.00° and γ = 90.00°. The inequivalent atoms are Na at (0.000, 0.000, 0.000), Mg at (0.500, 0.500, 0.500) and Bi at (0.000, 0.500, 0.500).

The value obtained for the total DFT energy (no corrections) is -13.57 eV/cell. Its formation enthalpy at 0 K is 198 meV per atom. The relative energy among the computed polymorphs is 0.000 eV per atom.



NaMgBi | GGA-PBE | optimized geometry

It has space group P-6m2 (No. 187), with a = 5.2757 Å, b = 5.2757 Å, c = 3.5615 Å, α = 90.00°, β = 90.00° and γ = 120.00°. The inequivalent atoms are Na at (0.0000, 0.0000, 0.0000), Mg at (0.3333, 0.6667, 0.5000) and Bi at (0.6667, 0.3333, 0.5000).

The value obtained for the total DFT energy (no corrections) is -7.37 eV/cell. Its formation enthalpy at 0 K is -192 meV per atom.



Na2MgBiO4 | GGA-PBE | optimized geometry

It has space group I-4 (No. 82), with a = 5.364 Å, b = 5.364 Å, c = 9.080 Å, α = 90.00°, β = 90.00° and γ = 90.00°. The inequivalent atoms are Na at (0.000, 0.000, 0.000), Na at (0.000, 0.500, 0.250), Mg at (0.000, 0.000, 0.500), Bi at (0.000, 0.500, 0.750) and O at (0.205, 0.239, 0.618).

The value obtained for the total DFT energy (no corrections) is -81.25 eV/cell. Its uncorrected formation energy is -1.585 eV/atom.



| no. | DOS(E_F) (states/eV per atom) | mass density (g cm⁻³) | magnetization (μB per cell) |
| --- | --- | --- | --- |
| 1 | 0.376 | 4.95 | 0.00 |
| 2 | 0.504 | 6.71 | 0.00 |
| 3 | 0.587 | 3.57 | 0.00 |
| 4 | 0.389 | 3.17 | 0.00 |
| 5 | 0.630 | 3.61 | 0.00 |
| 6 | 0.313 | 5.45 | 0.00 |
| 7 | 0.527 | 4.18 | 0.00 |
| 8 | 0.166 | 4.65 | 0.00 |
| 9 | 0.387 | 4.21 | 0.00 |
| 10 | 0.132 | 5.36 | 0.00 |
| 11 | 1.325 | 4.37 | 0.00 |
| 12 | 0.455 | 5.05 | 0.00 |
| 13 | 0.309 | 3.16 | 0.00 |
| 14 | 0.308 | 5.44 | 0.00 |
| 15 | 0.303 | 3.27 | 0.00 |
| 16 | 0.624 | 5.49 | 0.00 |
| 17 | 0.427 | 5.23 | 0.00 |
| 18 | 0.353 | 6.62 | 0.00 |
| 19 | 0.586 | 2.17 | 0.00 |
| 20 | 0.914 | 5.11 | 0.00 |
| 21 | 0.359 | 5.69 | 0.00 |
| 22 | 0.611 | 6.32 | 0.00 |
| 23 | 0.526 | 4.96 | 0.00 |
| 24 | 0.327 | 4.36 | 1.70 |